This record from Alexandria describes Bi2TePd8 after structural relaxation. The functional is PBE-GGA.

Cell and atoms, written as POSCAR:
```
Bi2TePd8
1.0
7.594 -2.231 0.000
7.594 2.231 0.000
-1.231 0.000 5.880
Bi Te Pd
2 1 8
direct
0.204 0.204 0.169
0.796 0.796 0.831
0.500 0.500 0.500
0.028 0.028 0.248
0.158 0.158 0.699
0.335 0.335 0.585
0.414 0.414 0.062
0.586 0.586 0.938
0.665 0.665 0.415
0.842 0.842 0.301
0.972 0.972 0.752
```

Calculated values
**Raw formation energy**: -0.244 eV/atom
**Energy**: -5.0122 eV per atom
**Space-group type**: C2/m
**Spin magnetization**: 0.000 μB per formula unit
**Calculated volume**: 199.3 Å³/cell